Entry 1:
Here is a geometry-optimized LiPrDy2Au4 structure from Alexandria via LeMat-Bulk. Energies are from PBE-GGA.

Summary:
Final energy, Ry per atom: -0.321
Formation energy, eV per formula unit: -5.936
M_tot, Bohr magnetons per cell: 0.000

Cell: 5.001 5.001 8.932 Å, 73.74 73.74 60.00°
Atoms (fractional coordinates):
Li  0.500  0.500  0.500
Pr  0.000  0.000  0.000
Dy  0.761  0.761  0.716
Dy  0.239  0.239  0.284
Au  0.389  0.389  0.832
Au  0.878  0.878  0.365
Au  0.122  0.122  0.635
Au  0.611  0.611  0.168

Entry 2:
Here is a geometry-optimized Li2PrDyAu4 structure from Alexandria via LeMat-Bulk. Energies are from PBE-GGA.

Summary:
Final energy, Ry per atom: -0.294
Formation energy, eV per formula unit: -5.645
M_tot, Bohr magnetons per cell: 0.000

Cell: 4.610 4.610 9.619 Å, 76.14 76.14 60.00°
Atoms (fractional coordinates):
Li  0.754  0.754  0.737
Li  0.246  0.246  0.263
Pr  0.000  0.000  0.000
Dy  0.500  0.500  0.500
Au  0.393  0.393  0.821
Au  0.886  0.886  0.343
Au  0.114  0.114  0.657
Au  0.607  0.607  0.179

Entry 3:
Here is a geometry-optimized LiDyPtAu structure from Alexandria via LeMat-Bulk. Energies are from PBE-GGA.

Summary:
Final energy, Ry per atom: -0.352
Formation energy, eV per formula unit: -3.326
M_tot, Bohr magnetons per cell: 0.000

Cell: 4.496 5.188 5.160 Å, 128.85 115.83 90.00°
Atoms (fractional coordinates):
Li  0.254  0.745  0.509
Dy  0.747  0.253  0.494
Pt  0.972  0.029  0.944
Au  0.526  0.473  0.053

Entry 4:
Here is a geometry-optimized LiDyPuAu structure from Alexandria via LeMat-Bulk. Energies are from PBE-GGA.

Summary:
Final energy, Ry per atom: -0.456
Formation energy, eV per formula unit: -0.686
M_tot, Bohr magnetons per cell: 5.935

Cell: 5.121 5.121 5.121 Å, 60.00 60.00 60.00°
Atoms (fractional coordinates):
Dy  0.750  0.750  0.750
Au  0.000  0.000  0.000
Li  0.500  0.500  0.500
Pu  0.250  0.250  0.250

Entry 5:
Here is a geometry-optimized LiDy2PuAu4 structure from Alexandria via LeMat-Bulk. Energies are from PBE-GGA.

Summary:
Final energy, Ry per atom: -0.402
Formation energy, eV per formula unit: -5.191
M_tot, Bohr magnetons per cell: 5.757

Cell: 5.017 5.017 8.648 Å, 73.14 73.14 60.00°
Atoms (fractional coordinates):
Li  0.500  0.500  0.500
Dy  0.755  0.755  0.735
Dy  0.245  0.245  0.265
Pu  0.000  0.000  0.000
Au  0.380  0.380  0.860
Au  0.876  0.876  0.372
Au  0.124  0.124  0.628
Au  0.620  0.620  0.140

Entry 6:
Here is a geometry-optimized LiDySc2Au4 structure from Alexandria via LeMat-Bulk. Energies are from PBE-GGA.

Summary:
Final energy, Ry per atom: -0.351
Formation energy, eV per formula unit: -5.920
M_tot, Bohr magnetons per cell: 0.000

Cell: 4.765 4.765 8.550 Å, 73.82 73.82 60.00°
Atoms (fractional coordinates):
Li  0.500  0.500  0.500
Dy  0.000  0.000  0.000
Sc  0.758  0.758  0.726
Sc  0.242  0.242  0.274
Au  0.388  0.388  0.837
Au  0.876  0.876  0.372
Au  0.124  0.124  0.628
Au  0.612  0.612  0.163

Entry 7:
Here is a geometry-optimized LiDyScAu structure from Alexandria via LeMat-Bulk. Energies are from PBE-GGA.

Summary:
Final energy, Ry per atom: -0.325
Formation energy, eV per formula unit: -1.589
M_tot, Bohr magnetons per cell: 0.000

Cell: 4.953 4.953 4.953 Å, 60.00 60.00 60.00°
Atoms (fractional coordinates):
Sc  0.250  0.250  0.250
Li  0.500  0.500  0.500
Au  0.000  0.000  0.000
Dy  0.750  0.750  0.750

Entry 8:
Here is a geometry-optimized Li2DySi2Au2 structure from Alexandria via LeMat-Bulk. Energies are from PBE-GGA.

Summary:
Final energy, Ry per atom: -0.315
M_tot, Bohr magnetons per cell: 0.000
ΔE_f (raw), eV/atom: -0.597

Cell: 4.250 4.250 8.302 Å, 75.17 75.17 60.00°
Atoms (fractional coordinates):
Li  0.141  0.141  0.576
Li  0.859  0.859  0.424
Dy  0.000  0.000  0.000
Si  0.745  0.745  0.766
Si  0.255  0.255  0.234
Au  0.576  0.576  0.273
Au  0.424  0.424  0.727

Entry 9:
Here is a geometry-optimized LiDySiAu structure from Alexandria via LeMat-Bulk. Energies are from PBE-GGA.

Summary:
Final energy, Ry per atom: -0.319
M_tot, Bohr magnetons per cell: 0.000
ΔE_f (raw), eV/atom: -0.537

Cell: 4.786 4.786 4.786 Å, 60.00 60.00 60.00°
Atoms (fractional coordinates):
Si  0.000  0.000  0.000
Li  0.750  0.750  0.750
Au  0.500  0.500  0.500
Dy  0.250  0.250  0.250

Entry 10:
Here is a geometry-optimized LiDySi2Au2 structure from Alexandria via LeMat-Bulk. Energies are from PBE-GGA.

Summary:
Final energy, Ry per atom: -0.337
M_tot, Bohr magnetons per cell: 0.000
ΔE_f (raw), eV/atom: -0.596

Cell: 4.311 4.311 6.663 Å, 90.00 90.00 120.00°
Atoms (fractional coordinates):
Li  0.000  0.000  0.500
Dy  0.000  0.000  0.000
Si  0.667  0.333  0.280
Si  0.333  0.667  0.720
Au  0.667  0.333  0.699
Au  0.333  0.667  0.301

Entry 11:
Here is a geometry-optimized LiSmDy2Au4 structure from Alexandria via LeMat-Bulk. Energies are from PBE-GGA.

Summary:
Final energy, Ry per atom: -0.322
Formation energy, eV per formula unit: -6.064
M_tot, Bohr magnetons per cell: 0.000

Cell: 5.008 5.008 8.734 Å, 73.34 73.34 60.00°
Atoms (fractional coordinates):
Li  0.500  0.500  0.500
Sm  0.000  0.000  0.000
Dy  0.758  0.758  0.726
Dy  0.242  0.242  0.274
Au  0.381  0.381  0.856
Au  0.878  0.878  0.365
Au  0.122  0.122  0.635
Au  0.619  0.619  0.144

Entry 12:
Here is a geometry-optimized SrLi2DyAu4 structure from Alexandria via LeMat-Bulk. Energies are from PBE-GGA.

Summary:
Final energy, Ry per atom: -0.263
Formation energy, eV per formula unit: -5.453
M_tot, Bohr magnetons per cell: 0.000

Cell: 4.590 4.590 10.083 Å, 76.84 76.84 60.00°
Atoms (fractional coordinates):
Sr  0.000  0.000  0.000
Li  0.756  0.756  0.732
Li  0.244  0.244  0.268
Dy  0.500  0.500  0.500
Au  0.399  0.399  0.803
Au  0.885  0.885  0.346
Au  0.115  0.115  0.654
Au  0.601  0.601  0.197